## Li2Nb2O5 (PBE-GGA)

Data for Li2Nb2O5 after structural relaxation.

Values from the calculation:
- E: -6.97 eV/atom
- Distance to the lowest polymorph of the same formula: 536 meV/atom

Lattice parameters (Å, degrees): 3.5865 3.5865 6.1076 90.00 90.00 90.00
Space group P4/mmm (No. 123)
Unique sites:
1 Li 0.0000 0.0000 0.2199 (multiplicity 2)
2 Nb 0.5000 0.5000 0.0000 (multiplicity 1)
3 Nb 0.5000 0.5000 0.5000 (multiplicity 1)
4 O 0.0000 0.0000 0.5000 (multiplicity 1)
5 O 0.0000 0.5000 0.1966 (multiplicity 4)